Entry 1:
Entry from the Alexandria database: a geometry-optimized Ce2PmNdSb4 structure (PBE).

Summary:
Symmetry ... P2/m (10)
Final energy ... -5.855 eV per atom
ρ ... 6.790 Mg/m³

abc: 4.5022 7.8014 7.8021
angles: 70.55 90.00 90.00
Closest atoms and distances in Å follow each position.
Sites, in units of the cell vectors:
Sb  0.5000  0.2481  0.7496  3 Ce 3.17-3.18, 2 Pm 3.19, 1 Nd 3.20
Nd  0.5000  0.5000  0.0000  6 Sb 3.20
Sb  0.0000  0.2474  0.2519  3 Ce 3.17-3.18, 1 Pm 3.19, 2 Nd 3.20
Ce  0.0000  0.0000  0.0000  6 Sb 3.18
Pm  0.0000  0.5000  0.5000  6 Sb 3.19
Sb  0.0000  0.7526  0.7481  3 Ce 3.17-3.18, 1 Pm 3.19, 2 Nd 3.20
Ce  0.5000  0.0000  0.5000  6 Sb 3.17
Sb  0.5000  0.7519  0.2504  3 Ce 3.17-3.18, 2 Pm 3.19, 1 Nd 3.20

Entry 2:
Entry from the Alexandria database: a geometry-optimized CePm2NdSb4 structure (PBE).

Summary:
Symmetry ... Imma (74)
Final energy ... -5.742 eV per atom
ρ ... 6.825 Mg/m³

abc: 9.0044 9.0044 9.0090
angles: 120.01 120.01 89.97
Closest atoms and distances in Å follow each position.
Sites, in units of the cell vectors:
Pm  0.5000  0.5000  0.0000  6 Sb 3.17-3.18
Pm  0.5000  0.0000  0.5000  6 Sb 3.19
Nd  0.5000  0.5000  0.5000  6 Sb 3.19
Sb  0.2497  0.7483  0.9985  3 Pm 3.17-3.19, 2 Ce 3.18, 1 Nd 3.19
Sb  0.7503  0.2517  0.0015  3 Pm 3.17-3.19, 2 Ce 3.18, 1 Nd 3.19
Sb  0.7517  0.2503  0.5015  3 Pm 3.17-3.19, 2 Ce 3.18, 1 Nd 3.19
Ce  0.0000  0.5000  0.0000  6 Sb 3.17-3.18
Sb  0.2490  0.2505  0.5010  1 Ce 3.17, 3 Pm 3.17-3.19, 2 Nd 3.19
Sb  0.7505  0.7490  0.0010  1 Ce 3.17, 3 Pm 3.17-3.19, 2 Nd 3.19
Sb  0.7510  0.7495  0.4990  1 Ce 3.17, 3 Pm 3.17-3.19, 2 Nd 3.19
Sb  0.2483  0.7497  0.4985  3 Pm 3.17-3.19, 2 Ce 3.18, 1 Nd 3.19
Sb  0.2495  0.2510  0.9990  1 Ce 3.17, 3 Pm 3.17-3.19, 2 Nd 3.19
Nd  0.0000  0.0000  0.0000  6 Sb 3.19
Pm  0.5000  0.0000  0.0000  6 Sb 3.19
Pm  0.0000  0.0000  0.5000  6 Sb 3.17-3.18
Ce  0.0000  0.5000  0.5000  6 Sb 3.17-3.18

Entry 3:
Entry from the Alexandria database: a geometry-optimized Ce3PmNd2Sb6 structure (PBE).

Summary:
Symmetry ... C2/m (12)
Final energy ... -5.855 eV per atom
ρ ... 6.771 Mg/m³

abc: 7.8058 7.8058 7.8098
angles: 99.59 99.59 119.99
Closest atoms and distances in Å follow each position.
Sites, in units of the cell vectors:
Ce  0.8329  0.1671  0.5000  6 Sb 3.17-3.18
Nd  0.3335  0.6665  0.0000  6 Sb 3.20
Nd  0.6665  0.3335  0.0000  6 Sb 3.20
Sb  0.4163  0.0841  0.2523  3 Ce 3.17-3.18, 1 Pm 3.19, 2 Nd 3.20
Ce  0.5000  0.5000  0.5000  6 Sb 3.17-3.18
Sb  0.9159  0.5837  0.7477  3 Ce 3.17-3.18, 1 Pm 3.19, 2 Nd 3.20
Sb  0.5837  0.9159  0.7477  3 Ce 3.17-3.18, 1 Pm 3.19, 2 Nd 3.20
Sb  0.7521  0.7521  0.2529  3 Ce 3.18, 1 Pm 3.19, 2 Nd 3.20
Ce  0.1671  0.8329  0.5000  6 Sb 3.17-3.18
Pm  0.0000  0.0000  0.0000  6 Sb 3.19
Sb  0.2479  0.2479  0.7471  3 Ce 3.18, 1 Pm 3.19, 2 Nd 3.20
Sb  0.0841  0.4163  0.2523  3 Ce 3.17-3.18, 1 Pm 3.19, 2 Nd 3.20

Entry 4:
Entry from the Alexandria database: a geometry-optimized CePmNd2Sb4 structure (PBE).

Summary:
Symmetry ... P2/m (10)
Final energy ... -5.744 eV per atom
ρ ... 6.792 Mg/m³

abc: 4.5059 7.8105 7.8097
angles: 70.63 90.00 90.00
Closest atoms and distances in Å follow each position.
Sites, in units of the cell vectors:
Sb  0.5000  0.7471  0.2497  1 Ce 3.17, 2 Pm 3.18, 3 Nd 3.20-3.21
Sb  0.0000  0.7470  0.7517  2 Ce 3.17, 1 Pm 3.18, 3 Nd 3.19-3.20
Pm  0.0000  0.5000  0.5000  6 Sb 3.18
Nd  0.0000  0.0000  0.0000  6 Sb 3.19-3.20
Nd  0.5000  0.0000  0.5000  6 Sb 3.20-3.21
Sb  0.5000  0.2529  0.7503  1 Ce 3.17, 2 Pm 3.18, 3 Nd 3.20-3.21
Ce  0.5000  0.5000  0.0000  6 Sb 3.17
Sb  0.0000  0.2530  0.2483  2 Ce 3.17, 1 Pm 3.18, 3 Nd 3.19-3.20

Entry 5:
Entry from the Alexandria database: a geometry-optimized CePmNdSc structure (PBE).

Summary:
Symmetry ... F-43m (216)
E_form ... 185 meV/atom
ρ ... 6.292 Mg/m³

abc: 5.6149 5.6149 5.6149
angles: 60.00 60.00 60.00
Closest atoms and distances in Å follow each position.
Sites, in units of the cell vectors:
Ce  0.2500  0.2500  0.2500  4 Pm 3.44, 4 Sc 3.44
Sc  0.0000  0.0000  0.0000  4 Ce 3.44, 4 Nd 3.44
Nd  0.7500  0.7500  0.7500  4 Pm 3.44, 4 Sc 3.44
Pm  0.5000  0.5000  0.5000  4 Ce 3.44, 4 Nd 3.44

Entry 6:
Entry from the Alexandria database: a geometry-optimized CePm2Nd3Se6 structure (PBE).

Summary:
Symmetry ... C2/m (12)
Final energy ... -6.060 eV per atom
ρ ... 6.990 Mg/m³

abc: 7.2985 7.2985 7.3092
angles: 99.58 99.58 120.11
Closest atoms and distances in Å follow each position.
Sites, in units of the cell vectors:
Nd  0.1694  0.8306  0.5000  6 Se 2.98-3.01
Se  0.7501  0.7501  0.2481  1 Ce 2.97, 2 Pm 2.98, 3 Nd 2.99-3.01
Se  0.0824  0.4143  0.2465  1 Ce 2.96, 2 Pm 2.96-2.97, 3 Nd 2.98-2.99
Ce  0.0000  0.0000  0.0000  6 Se 2.96-2.97
Se  0.4143  0.0824  0.2465  1 Ce 2.96, 2 Pm 2.96-2.97, 3 Nd 2.98-2.99
Se  0.2499  0.2499  0.7519  1 Ce 2.97, 2 Pm 2.98, 3 Nd 2.99-3.01
Nd  0.8306  0.1694  0.5000  6 Se 2.98-3.01
Se  0.9176  0.5857  0.7535  1 Ce 2.96, 2 Pm 2.96-2.97, 3 Nd 2.98-2.99
Nd  0.5000  0.5000  0.5000  6 Se 2.99
Pm  0.3326  0.6674  0.0000  6 Se 2.96-2.98
Pm  0.6674  0.3326  0.0000  6 Se 2.96-2.98
Se  0.5857  0.9176  0.7535  1 Ce 2.96, 2 Pm 2.96-2.97, 3 Nd 2.98-2.99

Entry 7:
Entry from the Alexandria database: a geometry-optimized Ce4PmNd3Se8 structure (PBE).

Summary:
Symmetry ... R-3m (166)
Final energy ... -6.252 eV per atom
ρ ... 6.943 Mg/m³

abc: 8.4146 8.4410 8.4150
angles: 119.90 120.00 90.00
Closest atoms and distances in Å follow each position.
Sites, in units of the cell vectors:
Ce  0.5000  0.0000  0.5000  6 Se 2.97
Se  0.7503  0.2490  0.5007  3 Ce 2.97-2.98, 1 Pm 2.98, 2 Nd 2.99
Nd  0.5000  0.5000  0.0000  6 Se 2.99
Pm  0.0000  0.5000  0.0000  6 Se 2.98
Se  0.7503  0.2490  0.9986  3 Ce 2.97-2.98, 1 Pm 2.98, 2 Nd 2.99
Ce  0.0000  0.0000  0.5000  6 Se 2.97
Ce  0.5000  0.0000  0.0000  6 Se 2.98
Se  0.7507  0.7520  0.5014  3 Ce 2.97, 3 Nd 2.99
Ce  0.0000  0.0000  0.0000  6 Se 2.97
Nd  0.5000  0.5000  0.5000  6 Se 2.99
Se  0.2497  0.7510  0.4993  3 Ce 2.97-2.98, 1 Pm 2.98, 2 Nd 2.99
Se  0.7517  0.7510  0.0014  3 Ce 2.97-2.98, 1 Pm 2.98, 2 Nd 2.99
Nd  0.0000  0.5000  0.5000  6 Se 2.99
Se  0.2497  0.7510  0.0014  3 Ce 2.97-2.98, 1 Pm 2.98, 2 Nd 2.99
Se  0.2483  0.2490  0.9986  3 Ce 2.97-2.98, 1 Pm 2.98, 2 Nd 2.99
Se  0.2493  0.2480  0.4986  3 Ce 2.97, 3 Nd 2.99

Entry 8:
Entry from the Alexandria database: a geometry-optimized CePmNd4Se8 structure (PBE).

Summary:
Symmetry ... R3m (160)
Final energy ... -5.831 eV per atom
ρ ... 5.298 Mg/m³

abc: 8.7211 8.7211 8.7110
angles: 59.96 59.96 60.00
Closest atoms and distances in Å follow each position.
Sites, in units of the cell vectors:
Se  0.2265  0.7590  0.2556  3 Nd 2.84-3.00, 1 Pm 2.98
Ce  0.3752  0.3752  0.8744  4 Se 2.86
Se  0.7590  0.2265  0.2556  3 Nd 2.84-3.00, 1 Pm 2.98
Nd  0.0001  0.0001  0.5002  6 Se 2.98-3.00
Nd  0.6247  0.6247  0.1260  4 Se 2.83-2.84
Se  0.2412  0.2412  0.2763  1 Ce 2.86, 3 Nd 2.98
Se  0.7772  0.2399  0.7430  1 Ce 2.86, 1 Pm 2.96, 2 Nd 2.98
Se  0.2399  0.2399  0.7430  1 Ce 2.86, 1 Pm 2.96, 2 Nd 2.98
Nd  0.0001  0.4997  0.5002  6 Se 2.98-3.00
Se  0.7590  0.7590  0.2556  3 Nd 2.84-3.00, 1 Pm 2.98
Pm  0.0002  0.0002  0.9993  6 Se 2.96-2.98
Se  0.7573  0.7573  0.7281  4 Nd 2.83-3.00
Se  0.2399  0.7772  0.7430  1 Ce 2.86, 1 Pm 2.96, 2 Nd 2.98
Nd  0.4997  0.0001  0.5002  6 Se 2.98-3.00

Entry 9:
Entry from the Alexandria database: a geometry-optimized CePm3Nd4Se8 structure (PBE).

Summary:
Symmetry ... R-3m (166)
Final energy ... -6.032 eV per atom
ρ ... 6.995 Mg/m³

abc: 8.4274 8.4308 8.4264
angles: 119.98 120.00 90.00
Closest atoms and distances in Å follow each position.
Sites, in units of the cell vectors:
Se  0.2505  0.2535  0.0021  1 Ce 2.96, 2 Pm 2.97, 3 Nd 2.99-3.00
Se  0.7516  0.2535  0.0021  1 Ce 2.96, 2 Pm 2.97, 3 Nd 2.99-3.00
Se  0.7489  0.7469  0.4977  3 Pm 2.97, 3 Nd 2.99
Se  0.2484  0.7465  0.9979  1 Ce 2.96, 2 Pm 2.97, 3 Nd 2.99-3.00
Nd  0.5000  0.0000  0.0000  6 Se 2.99-3.00
Se  0.7495  0.7465  0.9979  1 Ce 2.96, 2 Pm 2.97, 3 Nd 2.99-3.00
Pm  0.0000  0.5000  0.5000  6 Se 2.97
Pm  0.5000  0.5000  0.0000  6 Se 2.97
Se  0.2488  0.7469  0.4977  1 Ce 2.97, 2 Pm 2.97, 3 Nd 2.99
Se  0.2511  0.2531  0.5023  3 Pm 2.97, 3 Nd 2.99
Se  0.7512  0.2531  0.5023  1 Ce 2.97, 2 Pm 2.97, 3 Nd 2.99
Nd  0.0000  0.0000  0.0000  6 Se 2.99
Nd  0.5000  0.0000  0.5000  6 Se 2.99
Nd  0.0000  0.0000  0.5000  6 Se 2.99
Ce  0.0000  0.5000  0.0000  6 Se 2.96-2.97
Pm  0.5000  0.5000  0.5000  6 Se 2.97

Entry 10:
Entry from the Alexandria database: a geometry-optimized CePm3Nd2Se6 structure (PBE).

Summary:
Symmetry ... C2/m (12)
Final energy ... -6.055 eV per atom
ρ ... 7.014 Mg/m³

abc: 4.1945 8.4607 9.4032
angles: 102.94 102.89 90.00
Closest atoms and distances in Å follow each position.
Sites, in units of the cell vectors:
Pm  0.8322  0.1658  0.6644  6 Se 2.96-2.97
Se  0.3336  0.9191  0.6672  3 Pm 2.96, 1 Ce 2.97, 2 Nd 2.99
Nd  0.1664  0.3321  0.3328  6 Se 2.99
Se  0.0012  0.7498  0.0023  3 Pm 2.97, 2 Ce 2.98, 1 Nd 2.99
Se  0.6664  0.0809  0.3328  3 Pm 2.96, 1 Ce 2.97, 2 Nd 2.99
Ce  0.5000  0.0000  0.0000  6 Se 2.97-2.98
Se  0.9988  0.2502  0.9977  3 Pm 2.97, 2 Ce 2.98, 1 Nd 2.99
Se  0.6663  0.5847  0.3325  3 Pm 2.97, 3 Nd 2.99
Pm  0.5000  0.5000  0.0000  6 Se 2.97
Se  0.3337  0.4153  0.6675  3 Pm 2.97, 3 Nd 2.99
Pm  0.1678  0.8342  0.3356  6 Se 2.96-2.97
Nd  0.8336  0.6679  0.6672  6 Se 2.99

Entry 11:
Entry from the Alexandria database: a geometry-optimized Ce3PmNd3Se8 structure (PBE).

Summary:
Symmetry ... R-3m (166)
Final energy ... -6.183 eV per atom
ρ ... 6.406 Mg/m³

abc: 8.4225 8.4234 8.4230
angles: 120.02 90.00 120.00
Closest atoms and distances in Å follow each position.
Sites, in units of the cell vectors:
Se  0.7488  0.0009  0.2501  2 Ce 2.97, 2 Nd 2.98-2.99, 1 Pm 2.99
Ce  0.0000  0.5000  0.5000  6 Se 2.97
Ce  0.5000  0.5000  0.5000  6 Se 2.97
Se  0.2511  0.5022  0.7499  2 Ce 2.97, 2 Nd 2.99, 1 Pm 2.99
Se  0.7489  0.4978  0.2501  2 Ce 2.97, 2 Nd 2.99, 1 Pm 2.99
Se  0.2522  0.0009  0.2501  2 Ce 2.97, 2 Nd 2.98-2.99, 1 Pm 2.99
Nd  0.0000  0.0000  0.0000  6 Se 2.99
Se  0.7492  0.4983  0.7484  3 Ce 2.97, 3 Nd 2.98-2.99
Se  0.2508  0.5017  0.2516  3 Ce 2.97, 3 Nd 2.98-2.99
Nd  0.0000  0.5000  0.0000  6 Se 2.98-2.99
Se  0.7478  0.9991  0.7499  2 Ce 2.97, 2 Nd 2.98-2.99, 1 Pm 2.99
Pm  0.0000  0.0000  0.5000  6 Se 2.99
Se  0.2512  0.9991  0.7499  2 Ce 2.97, 2 Nd 2.98-2.99, 1 Pm 2.99
Nd  0.5000  0.5000  0.0000  6 Se 2.98-2.99
Ce  0.5000  0.0000  0.5000  6 Se 2.97

Entry 12:
Entry from the Alexandria database: a geometry-optimized CePmNdSe3 structure (PBE).

Summary:
Symmetry ... P2_1/m (11)
Final energy ... -6.032 eV per atom
ρ ... 6.906 Mg/m³

abc: 4.0676 7.3830 10.9330
angles: 102.62 90.00 90.00
Closest atoms and distances in Å follow each position.
Sites, in units of the cell vectors:
Pm  0.7500  0.6571  0.7005  7 Se 3.01-3.11
Pm  0.2500  0.3429  0.2995  7 Se 3.01-3.11
Ce  0.2500  0.1195  0.6246  5 Se 2.92-3.04
Se  0.7500  0.0594  0.1617  1 Ce 2.92, 3 Nd 2.96-3.02, 2 Pm 3.07
Nd  0.2500  0.7639  0.0564  6 Se 2.96-3.02
Nd  0.7500  0.2361  0.9436  6 Se 2.96-3.02
Se  0.2500  0.7061  0.5071  3 Ce 2.95-3.04, 3 Pm 3.01-3.11
Se  0.2500  0.9406  0.8383  1 Ce 2.92, 3 Nd 2.96-3.02, 2 Pm 3.07
Se  0.2500  0.4547  0.8311  1 Ce 2.96, 3 Nd 2.97-3.02, 2 Pm 3.06
Se  0.7500  0.5453  0.1689  1 Ce 2.96, 3 Nd 2.97-3.02, 2 Pm 3.06
Se  0.7500  0.2939  0.4929  3 Ce 2.95-3.04, 3 Pm 3.01-3.11
Ce  0.7500  0.8805  0.3754  5 Se 2.92-3.04

no.,total magnetic moment (μB/atom)
1,0.19
2,0.09
3,0.19
4,0.09
5,0.22
6,0.07
7,0.24
8,0.12
9,0.05
10,0.09
11,0.23
12,0.26